Computed, not measured: a geometry-optimized Si2PPb structure at the PBE level of DFT.

energy above the lowest structure with this stoichiometry	0.0000	eV per atom
space group	R3m, No. 160
E_form (uncorrected)	0.25	eV per atom
total moment	0.0	μB/f.u.
V	83.0	Å³ per cell

POSCAR file:
```
Si2PPb
1.0
1.7697 1.0217 7.6466
-1.7697 1.0217 7.6466
0.0000 -2.0435 7.6466
Si P Pb
2 1 1
Cartesian
0.0000 0.0000 0.0000
0.0000 0.0000 6.0715
0.0000 0.0000 16.4398
0.0000 0.0000 11.4800
```